{
  "formula": "Tl2MoAsC",
  "functional": "PBE",
  "state": "optimized geometry",
  "dft_energy_ev_per_atom": -4.819,
  "sg": "P4/mmm",
  "lattice_angstrom": [[5.058, 0.000, 0.000], [0.000, 5.058, 0.000], [0.000, 0.000, 4.104]],
  "species": ["Tl", "Tl", "Mo", "As", "C"],
  "frac_coords": [[0.000, 0.500, 0.000], [0.500, 0.000, 0.000], [0.000, 0.000, 0.500], [0.500, 0.500, 0.500], [0.000, 0.000, 0.000]]
}